Record 1
{"formula": "Ce4YBi6", "functional": "PBE", "state": "relaxed", "lattice_angstrom": [[-3.9161, 7.7341, -2.3407], [-1.1793, -2.8992, -8.4163], [-7.8857, -3.4732, 2.5267]], "species": ["Ce", "Ce", "Ce", "Ce", "Ce", "Ce", "Ce", "Ce", "Y", "Y", "Bi", "Bi", "Bi", "Bi", "Bi", "Bi", "Bi", "Bi", "Bi", "Bi", "Bi", "Bi"], "frac_coords": [[0.3607, 0.1393, 0.2500], [0.8607, 0.2500, 0.3607], [0.2500, 0.6393, 0.1393], [0.2500, 0.2500, 0.7500], [0.7500, 0.7500, 0.2500], [0.7500, 0.3607, 0.8607], [0.1393, 0.7500, 0.6393], [0.6393, 0.8607, 0.7500], [0.5000, 0.5000, 0.5000], [0.0000, 0.0000, 0.0000], [0.6728, 0.0656, 0.0791], [0.0791, 0.3272, 0.0656], [0.5791, 0.4344, 0.1728], [0.9344, 0.0791, 0.6728], [0.5656, 0.1728, 0.5791], [0.1728, 0.4209, 0.4344], [0.8272, 0.5791, 0.5656], [0.4344, 0.8272, 0.4209], [0.0656, 0.9209, 0.3272], [0.4209, 0.5656, 0.8272], [0.9209, 0.6728, 0.9344], [0.3272, 0.9344, 0.9209]], "formation_energy_ev_per_atom": -0.6647, "final_energy_ev_per_atom": -5.53, "sg": "R-3c", "dos_ef_per_ev_atom": 2.25}

=====

Record 2
{"formula": "CaLa3Sb3", "functional": "PBE", "state": "relaxed", "lattice_angstrom": [[-1.3750, -0.3018, 9.5781], [4.5602, -8.5310, 0.3858], [8.4283, 4.5665, 1.3539]], "species": ["Ca", "Ca", "Ca", "Ca", "La", "La", "La", "La", "La", "La", "La", "La", "La", "La", "La", "La", "Sb", "Sb", "Sb", "Sb", "Sb", "Sb", "Sb", "Sb", "Sb", "Sb", "Sb", "Sb"], "frac_coords": [[0.0698, 0.5698, 0.9302], [0.9302, 0.0698, 0.5698], [0.4302, 0.4302, 0.4302], [0.5698, 0.9302, 0.0698], [0.8229, 0.3229, 0.1771], [0.9292, 0.9292, 0.9292], [0.8200, 0.6800, 0.3200], [0.1771, 0.8229, 0.3229], [0.1800, 0.1800, 0.1800], [0.3200, 0.8200, 0.6800], [0.0708, 0.4292, 0.5708], [0.3229, 0.1771, 0.8229], [0.6800, 0.3200, 0.8200], [0.6771, 0.6771, 0.6771], [0.5708, 0.0708, 0.4292], [0.4292, 0.5708, 0.0708], [0.7515, 0.6259, 0.9984], [0.8741, 0.0016, 0.2515], [0.9984, 0.7515, 0.6259], [0.1259, 0.5016, 0.2485], [0.2485, 0.1259, 0.5016], [0.2515, 0.8741, 0.0016], [0.0016, 0.2515, 0.8741], [0.3741, 0.4984, 0.7485], [0.5016, 0.2485, 0.1259], [0.6259, 0.9984, 0.7515], [0.7485, 0.3741, 0.4984], [0.4984, 0.7485, 0.3741]], "final_energy_ev_per_atom": -5.26, "sg": "P2_13", "formation_energy_uncorrected_ev_per_atom": -1.10, "dos_ef_per_ev_atom": 1.19}

=====

Record 3
{"formula": "SrAc2Nd", "functional": "PBE", "state": "relaxed", "lattice_angstrom": [[5.4511, 0.0000, 0.0000], [0.0000, 5.6471, 0.0000], [0.0000, 0.0000, 5.6471]], "species": ["Sr", "Ac", "Ac", "Nd"], "frac_coords": [[0.5000, 0.0000, 0.0000], [0.0000, 0.0000, 0.5000], [0.0000, 0.5000, 0.0000], [0.5000, 0.5000, 0.5000]], "formation_energy_ev_per_atom": 0.1030, "relative_energy_ev_per_atom": 0.0564, "final_energy_ev_per_atom": -3.56, "sg": "P4/mmm", "dos_ef_per_ev_atom": 1.84}

=====

Record 4
{"formula": "SrZnSe2O8", "functional": "PBE", "state": "relaxed", "lattice_angstrom": [[-0.9225, -4.6918, -1.5498], [3.6410, -2.6846, -2.1914], [2.9899, -5.0680, 5.4115]], "species": ["Sr", "Zn", "Se", "Se", "O", "O", "O", "O", "O", "O", "O", "O"], "frac_coords": [[0.5000, 0.5000, 0.5000], [0.0000, 0.0000, 0.0000], [0.2553, 0.2553, 0.2341], [0.7447, 0.7447, 0.7659], [0.1802, 0.1802, 0.4593], [0.5978, 0.2746, 0.1723], [0.8198, 0.8198, 0.5407], [0.9554, 0.5978, 0.1723], [0.0446, 0.4022, 0.8277], [0.2746, 0.9554, 0.1723], [0.7254, 0.0446, 0.8277], [0.4022, 0.7254, 0.8277]], "final_energy_ev_per_atom": -5.36, "sg": "R-3", "formation_energy_uncorrected_ev_per_atom": -1.23, "dos_ef_per_ev_atom": 0.00}

=====

Record 5
{"formula": "Ca3As5O12", "functional": "PBE", "state": "relaxed", "lattice_angstrom": [[-1.4181, 3.4664, 10.6061], [-6.2244, -9.1934, -1.8037], [10.8472, -2.4163, -1.7361]], "species": ["Ca", "Ca", "Ca", "Ca", "Ca", "Ca", "Ca", "Ca", "Ca", "Ca", "Ca", "Ca", "As", "As", "As", "As", "As", "As", "As", "As", "As", "As", "As", "As", "As", "As", "As", "As", "As", "As", "As", "As", "O", "O", "O", "O", "O", "O", "O", "O", "O", "O", "O", "O", "O", "O", "O", "O", "O", "O", "O", "O", "O", "O", "O", "O", "O", "O", "O", "O", "O", "O", "O", "O", "O", "O", "O", "O", "O", "O", "O", "O", "O", "O", "O", "O", "O", "O", "O", "O"], "frac_coords": [[0.7500, 0.3750, 0.1250], [0.8750, 0.7500, 0.1250], [0.3750, 0.7500, 0.6250], [0.2500, 0.1250, 0.3750], [0.8750, 0.1250, 0.2500], [0.3750, 0.6250, 0.2500], [0.6250, 0.3750, 0.7500], [0.1250, 0.8750, 0.7500], [0.7500, 0.8750, 0.6250], [0.6250, 0.2500, 0.3750], [0.1250, 0.2500, 0.8750], [0.2500, 0.6250, 0.8750], [0.1250, 0.3750, 0.2500], [0.0000, 0.5000, 0.0000], [0.0000, 0.0000, 0.0000], [0.3750, 0.2500, 0.1250], [0.5000, 0.0000, 0.5000], [0.5000, 0.5000, 0.0000], [0.1250, 0.7500, 0.3750], [0.7500, 0.1250, 0.8750], [0.7500, 0.6250, 0.3750], [0.3750, 0.1250, 0.7500], [0.6250, 0.8750, 0.2500], [0.5000, 0.5000, 0.5000], [0.5000, 0.0000, 0.0000], [0.0000, 0.0000, 0.5000], [0.2500, 0.3750, 0.6250], [0.2500, 0.8750, 0.1250], [0.0000, 0.5000, 0.5000], [0.8750, 0.2500, 0.6250], [0.6250, 0.7500, 0.8750], [0.8750, 0.6250, 0.7500], [0.7068, 0.1234, 0.0212], [0.3143, 0.5212, 0.3978], [0.9788, 0.3766, 0.2932], [0.5212, 0.2068, 0.1234], [0.5835, 0.7068, 0.6857], [0.9788, 0.6022, 0.1857], [0.3143, 0.7932, 0.4165], [0.1022, 0.9165, 0.1234], [0.6022, 0.9788, 0.6857], [0.7068, 0.5835, 0.1857], [0.7932, 0.4788, 0.3766], [0.8143, 0.8978, 0.0212], [0.1234, 0.7068, 0.5212], [0.3766, 0.3978, 0.0835], [0.0835, 0.8978, 0.3766], [0.4165, 0.1234, 0.6022], [0.0835, 0.1857, 0.2068], [0.4788, 0.6857, 0.1022], [0.8143, 0.9165, 0.2932], [0.1234, 0.4165, 0.1022], [0.3766, 0.9788, 0.7932], [0.6022, 0.6234, 0.4165], [0.8978, 0.8143, 0.5212], [0.7932, 0.3143, 0.9165], [0.3978, 0.3766, 0.5835], [0.1022, 0.1857, 0.4788], [0.2068, 0.6857, 0.0835], [0.1857, 0.0835, 0.7068], [0.6234, 0.0212, 0.2068], [0.8766, 0.5835, 0.8978], [0.5212, 0.3143, 0.8978], [0.5835, 0.8766, 0.3978], [0.9165, 0.8143, 0.7932], [0.9165, 0.1022, 0.6234], [0.8766, 0.2932, 0.4788], [0.1857, 0.1022, 0.9788], [0.6234, 0.6022, 0.9165], [0.3978, 0.0212, 0.3143], [0.2932, 0.4165, 0.8143], [0.2068, 0.5212, 0.6234], [0.8978, 0.0835, 0.8766], [0.6857, 0.2068, 0.5835], [0.4788, 0.7932, 0.8766], [0.0212, 0.3978, 0.8143], [0.4165, 0.2932, 0.3143], [0.0212, 0.6234, 0.7068], [0.6857, 0.4788, 0.6022], [0.2932, 0.8766, 0.9788]], "final_energy_ev_per_atom": -6.05, "sg": "Ia-3d", "formation_energy_uncorrected_ev_per_atom": -1.61, "dos_ef_per_ev_atom": 0.38}

=====

Record 6
{"formula": "NaTcAs2", "functional": "PBE", "state": "relaxed", "lattice_angstrom": [[-1.7923, 0.5327, 2.6851], [-2.6834, -1.7875, 0.5571], [3.0084, -5.8987, 5.1720]], "species": ["Na", "As", "As", "Tc"], "frac_coords": [[0.5000, 0.5000, 0.5000], [0.7359, 0.7359, 0.7923], [0.2641, 0.2641, 0.2077], [0.0000, 0.0000, 0.0000]], "formation_energy_ev_per_atom": -0.2135, "relative_energy_ev_per_atom": 0.0836, "final_energy_ev_per_atom": -5.46, "sg": "R-3m", "dos_ef_per_ev_atom": 0.50}

=====

Record 7
{"formula": "BaTaAsBr2", "functional": "PBE", "state": "relaxed", "lattice_angstrom": [[-1.2732, 1.7483, -5.6252], [-0.4674, -5.7669, -1.6866], [-6.3688, 0.0867, 1.4685]], "species": ["As", "Ba", "Br", "Br", "Ta"], "frac_coords": [[0.0000, 0.0000, 0.5000], [0.0000, 0.0000, 0.0000], [0.0000, 0.5000, 0.0000], [0.5000, 0.0000, 0.0000], [0.5000, 0.5000, 0.5000]], "relative_energy_ev_per_atom": 1.4490, "final_energy_ev_per_atom": -3.55, "sg": "P4/mmm", "formation_energy_uncorrected_ev_per_atom": 0.80, "dos_ef_per_ev_atom": 1.59}

=====

Record 8
{"formula": "BeZnO2", "functional": "PBE", "state": "relaxed", "lattice_angstrom": [[-2.2210, 0.6466, 1.8626], [1.5041, -2.5426, 0.3079], [3.2391, 2.2894, 3.0692]], "species": ["Be", "Zn", "O", "O"], "frac_coords": [[0.4024, 0.8285, 0.2013], [0.7360, 0.4960, 0.7028], [0.7362, 0.4956, 0.0956], [0.4028, 0.8293, 0.5191]], "final_energy_ev_per_atom": -5.66, "sg": "P3m1", "formation_energy_uncorrected_ev_per_atom": -1.93, "dos_ef_per_ev_atom": 0.00}

=====

Record 9
{"formula": "Cs3RbAu", "functional": "PBE", "state": "relaxed", "lattice_angstrom": [[0.6604, 5.7198, 1.5491], [-2.2620, -1.4016, -5.3359], [-24.4900, 0.0172, 10.3774]], "species": ["Cs", "Cs", "Cs", "Cs", "Cs", "Cs", "Au", "Au", "Rb", "Rb"], "frac_coords": [[0.0000, 0.0000, 0.2500], [0.0000, 0.0000, 0.7500], [0.3333, 0.6667, 0.1407], [0.3333, 0.6667, 0.3593], [0.6667, 0.3333, 0.6407], [0.6667, 0.3333, 0.8593], [0.3333, 0.6667, 0.7500], [0.6667, 0.3333, 0.2500], [0.0000, 0.0000, 0.0000], [0.0000, 0.0000, 0.5000]], "formation_energy_ev_per_atom": -0.0533, "relative_energy_ev_per_atom": 0.0938, "final_energy_ev_per_atom": -1.41, "sg": "P6_3/mmc", "dos_ef_per_ev_atom": 0.96}

=====

Record 10
{"formula": "SbOs2Se", "functional": "PBE", "state": "relaxed", "lattice_angstrom": [[-1.0362, 3.0783, -3.1735], [-4.0537, -1.9622, -0.5814], [-1.2564, 1.9217, 2.2743]], "species": ["Os", "Os", "Sb", "Se"], "frac_coords": [[0.0000, 0.0000, 0.0000], [0.5000, 0.5000, 0.0000], [0.5000, 0.0000, 0.5000], [0.0000, 0.5000, 0.5000]], "relative_energy_ev_per_atom": 0.4194, "final_energy_ev_per_atom": -6.74, "sg": "P4/mmm", "formation_energy_uncorrected_ev_per_atom": 0.77, "dos_ef_per_ev_atom": 0.90}

=====

Record 11
{"formula": "Ho2AlGe3", "functional": "PBE", "state": "relaxed", "lattice_angstrom": [[-3.0318, 3.1435, -0.7085], [-0.0049, -1.3122, -5.8013], [-2.2231, -4.3484, 4.0345]], "species": ["Ho", "Ho", "Al", "Ge", "Ge", "Ge"], "frac_coords": [[0.6884, 0.1884, 0.3769], [0.3116, 0.8116, 0.6231], [0.0000, 0.5000, 0.0000], [0.3665, 0.3665, 0.7331], [0.0000, 0.0000, 0.0000], [0.6335, 0.6335, 0.2669]], "formation_energy_ev_per_atom": -0.3897, "relative_energy_ev_per_atom": 0.2481, "final_energy_ev_per_atom": -4.85, "sg": "Immm", "dos_ef_per_ev_atom": 0.45}

=====

Record 12
{"formula": "Cd2Ag5Au3", "functional": "PBE", "state": "relaxed", "lattice_angstrom": [[5.4255, 0.0000, 0.0000], [2.7128, 8.7119, -1.7774], [2.7128, -0.4123, 8.8818]], "species": ["Cd", "Cd", "Cd", "Cd", "Ag", "Ag", "Ag", "Ag", "Ag", "Ag", "Ag", "Ag", "Ag", "Ag", "Au", "Au", "Au", "Au", "Au", "Au"], "frac_coords": [[0.1287, 0.6022, 0.1403], [0.6287, 0.1403, 0.6022], [0.8713, 0.3978, 0.8597], [0.3713, 0.8597, 0.3978], [0.3905, 0.2643, 0.9546], [0.8905, 0.9546, 0.2643], [0.6095, 0.7357, 0.0454], [0.1095, 0.0454, 0.7357], [0.4998, 0.7502, 0.7502], [0.5002, 0.2498, 0.2498], [0.7500, 0.5000, 0.5000], [0.2500, 0.5000, 0.5000], [0.0002, 0.2498, 0.2498], [0.9998, 0.7502, 0.7502], [0.3654, 0.4819, 0.7874], [0.8654, 0.7874, 0.4819], [0.6346, 0.5181, 0.2126], [0.1346, 0.2126, 0.5181], [0.2500, 0.0000, 0.0000], [0.7500, 0.0000, 0.0000]], "formation_energy_ev_per_atom": 0.0742, "final_energy_ev_per_atom": -2.52, "sg": "Ibam", "dos_ef_per_ev_atom": 0.31}

=====

Record 13
{"formula": "KNa3Cu", "functional": "PBE", "state": "relaxed", "lattice_angstrom": [[-0.0577, 5.9419, -2.0636], [-5.5189, -1.0379, -2.8341], [-3.0176, 1.7845, 5.2228]], "species": ["Na", "Na", "Na", "K", "Cu"], "frac_coords": [[0.0000, 0.5000, 0.0000], [0.0000, 0.0000, 0.5000], [0.5000, 0.0000, 0.0000], [0.0000, 0.0000, 0.0000], [0.5000, 0.5000, 0.5000]], "formation_energy_ev_per_atom": 0.8339, "relative_energy_ev_per_atom": 0.6452, "final_energy_ev_per_atom": -1.00, "sg": "Pm-3m", "dos_ef_per_ev_atom": 0.73}

=====

Record 14
{"formula": "LaTb4Y3Se8", "functional": "PBE", "state": "relaxed", "lattice_angstrom": [[-4.0499, 7.1492, -0.7189], [-7.0228, -3.7663, 2.1078], [6.6031, -0.5229, 4.9171]], "species": ["La", "Tb", "Tb", "Tb", "Tb", "Y", "Y", "Y", "Se", "Se", "Se", "Se", "Se", "Se", "Se", "Se"], "frac_coords": [[0.0000, 0.5000, 0.0000], [0.5000, 0.0000, 0.0000], [0.5000, 0.0000, 0.5000], [0.0000, 0.0000, 0.0000], [0.0000, 0.0000, 0.5000], [0.5000, 0.5000, 0.0000], [0.5000, 0.5000, 0.5000], [0.0000, 0.5000, 0.5000], [0.2555, 0.7550, 0.9995], [0.2554, 0.7549, 0.5108], [0.2502, 0.2507, 0.5004], [0.7440, 0.7550, 0.9995], [0.2560, 0.2450, 0.0005], [0.7498, 0.7493, 0.4996], [0.7446, 0.2451, 0.4892], [0.7445, 0.2450, 0.0005]], "final_energy_ev_per_atom": -6.21, "sg": "R-3m", "formation_energy_uncorrected_ev_per_atom": -1.79, "dos_ef_per_ev_atom": 0.68}

=====

Record 15
{"formula": "CaTm2Cd2", "functional": "PBE", "state": "relaxed", "lattice_angstrom": [[3.6596, 0.0000, -0.4897], [0.0000, 5.3863, 0.0000], [0.0041, 0.0000, 13.9191]], "species": ["Ca", "Ca", "Tm", "Tm", "Tm", "Tm", "Cd", "Cd", "Cd", "Cd"], "frac_coords": [[0.8534, 0.7500, 0.7072], [0.1466, 0.2500, 0.2928], [0.0468, 0.7500, 0.0934], [0.9532, 0.2500, 0.9066], [0.2343, 0.7500, 0.4683], [0.7657, 0.2500, 0.5317], [0.6418, 0.7500, 0.2831], [0.3582, 0.2500, 0.7169], [0.4527, 0.7500, 0.9069], [0.5473, 0.2500, 0.0931]], "formation_energy_ev_per_atom": -0.2425, "final_energy_ev_per_atom": -2.80, "sg": "Cmcm", "dos_ef_per_ev_atom": 0.72}

=====

Record 16
{"formula": "LiTlFeRh", "functional": "PBE", "state": "relaxed", "lattice_angstrom": [[-0.6760, -3.2467, 2.9658], [3.4570, -1.8373, 2.1138], [0.6274, 0.7808, 4.3349]], "species": ["Tl", "Rh", "Fe", "Li"], "frac_coords": [[0.2500, 0.2500, 0.2500], [0.0000, 0.0000, 0.0000], [0.7500, 0.7500, 0.7500], [0.5000, 0.5000, 0.5000]], "formation_energy_ev_per_atom": 0.0276, "final_energy_ev_per_atom": -5.00, "sg": "F-43m", "dos_ef_per_ev_atom": 0.67}

=====

Record 17
{"formula": "Y2TaAs2", "functional": "PBE", "state": "relaxed", "lattice_angstrom": [[-3.6111, -2.0905, 5.8761], [-5.2054, -2.7300, -4.1701], [1.9486, -3.5923, -0.0805]], "species": ["Y", "Y", "Y", "Y", "As", "As", "As", "As", "Ta", "Ta"], "frac_coords": [[0.1659, 0.6659, 0.5000], [0.6659, 0.8341, 0.5000], [0.8341, 0.3341, 0.5000], [0.3341, 0.1659, 0.5000], [0.3544, 0.8544, 0.0000], [0.8544, 0.6456, 0.0000], [0.6456, 0.1456, 0.0000], [0.1456, 0.3544, 0.0000], [0.0000, 0.0000, 0.0000], [0.5000, 0.5000, 0.0000]], "formation_energy_ev_per_atom": -0.8416, "final_energy_ev_per_atom": -7.66, "sg": "P4/mbm", "dos_ef_per_ev_atom": 1.02}

=====

Record 18
{"formula": "Na3Sn4Ge", "functional": "PBE", "state": "relaxed", "lattice_angstrom": [[-1.4058, -2.7183, -0.6533], [-0.3872, -1.3004, 6.2438], [-8.3890, 6.7142, -2.3911]], "species": ["Na", "Na", "Na", "Sn", "Sn", "Sn", "Sn", "Ge"], "frac_coords": [[0.2390, 0.2390, 0.4779], [0.7610, 0.7610, 0.5221], [0.0000, 0.5000, 0.0000], [0.3786, 0.6239, 0.7572], [0.6214, 0.3761, 0.2428], [0.6214, 0.8668, 0.2428], [0.3786, 0.1332, 0.7572], [0.5000, 0.0000, 0.0000]], "formation_energy_ev_per_atom": -0.0805, "final_energy_ev_per_atom": -3.15, "sg": "Immm", "dos_ef_per_ev_atom": 0.33}

=====

Record 19
{"formula": "Ba2LaHoSe4", "functional": "PBE", "state": "relaxed", "lattice_angstrom": [[4.3721, 0.0000, 0.0000], [0.0000, 7.5717, 0.1312], [0.0000, -2.6489, 7.3686]], "species": ["Ba", "Ba", "La", "Ho", "Se", "Se", "Se", "Se"], "frac_coords": [[0.5000, 0.0000, 0.5000], [0.0000, 0.5000, 0.5000], [0.5000, 0.5000, 0.0000], [0.0000, 0.0000, 0.0000], [0.5000, 0.2282, 0.2145], [0.5000, 0.7718, 0.7855], [0.0000, 0.2487, 0.7799], [0.0000, 0.7513, 0.2201]], "final_energy_ev_per_atom": -5.33, "sg": "P2/m", "formation_energy_uncorrected_ev_per_atom": -1.92, "dos_ef_per_ev_atom": 0.50}